[1]
## CeNd2DyTl4 (PBE)

Data for crystalline CeNd2DyTl4 at its relaxed geometry.

Cell lengths 9.539, 9.539, 9.539 Å; angles 33.39, 33.39, 33.39 degrees
Fractional coordinates of all 8 atoms:
Ce1 0.000 0.000 0.000
Nd1 0.249 0.249 0.249
Nd2 0.751 0.751 0.751
Dy1 0.500 0.500 0.500
Tl1 0.126 0.126 0.126
Tl2 0.376 0.376 0.376
Tl3 0.624 0.624 0.624
Tl4 0.874 0.874 0.874

Summary:
space-group type	R-3m
energy relative to the elements	-0.32	eV/atom

---

[2]
## HgP2Rh2 (PBE)

Data for crystalline HgP2Rh2 at its relaxed geometry.

Cell lengths 6.476, 6.476, 6.476 Å; angles 146.32, 146.32, 48.37 degrees
Fractional coordinates of all 5 atoms:
Hg1 0.000 0.000 0.000
P1 0.250 0.750 0.500
P2 0.750 0.250 0.500
Rh1 0.369 0.369 0.000
Rh2 0.631 0.631 0.000

Summary:
space-group type	I4/mmm
energy relative to the elements	-0.19	eV/atom

---

[3]
## SiTeIr (PBE)

Data for crystalline SiTeIr at its relaxed geometry.

Cell lengths 3.829, 3.829, 5.413 Å; angles 90.00, 90.00, 120.00 degrees
Fractional coordinates of all 3 atoms:
Si1 0.000 0.000 0.000
Te1 0.667 0.333 0.550
Ir1 0.333 0.667 0.850

Summary:
space-group type	P3m1
formation energy (no corrections)	-0.0782	eV per atom

---

[4]
## Tm3PuZn4 (PBE)

Data for crystalline Tm3PuZn4 at its relaxed geometry.

Cell lengths 8.641, 8.641, 8.641 Å; angles 33.57, 33.57, 33.57 degrees
Fractional coordinates of all 8 atoms:
Tm1 0.000 0.000 0.000
Tm2 0.249 0.249 0.249
Tm3 0.751 0.751 0.751
Pu1 0.500 0.500 0.500
Zn1 0.123 0.123 0.123
Zn2 0.374 0.374 0.374
Zn3 0.626 0.626 0.626
Zn4 0.877 0.877 0.877

Summary:
space-group type	R-3m
energy relative to the elements	-0.27	eV/atom

---

no.,final energy (eV per atom),DOS at the Fermi energy (states/eV per atom)
1,-4.01,1.682
2,-5.35,0.601
3,-5.89,0.598
4,-4.38,1.072